A geometry-optimized CoReNO structure, computed with PBE with a Hubbard U.

a b c (Å): 3.763 3.763 6.593
angles (deg): 90.00 90.00 90.00
Element x y z (fractional)
Co: 0.250 0.250 0.100
Co: 0.750 0.750 0.900
Re: 0.250 0.750 0.500
Re: 0.750 0.250 0.500
N: 0.250 0.250 0.624
N: 0.750 0.750 0.376
O: 0.250 0.750 0.000
O: 0.750 0.250 0.000

Calculated values
final energy: -7.549 eV per atom
excess energy over the best structure of this formula in the dataset: 0.3473 eV per atom
crystal system: tetragonal
volume: 11.67 A^3/atom
SG: P4/nmm, No. 129
density: 9.79 g/cm3